# 1
SrMgPd2F: optimized geometry, GGA-PBE.

Geometry as POSCAR:
```
SrMgPd2F
1.0
4.560 0.000 0.000
0.000 4.560 0.000
0.000 0.000 6.620
Sr Mg Pd F
1 1 2 1
direct
0.000 0.000 0.000 Sr
0.000 0.000 0.500 Mg
0.000 0.500 0.500 Pd
0.500 0.000 0.500 Pd
0.500 0.500 0.000 F
```

Computed properties:
Density of states at the Fermi level (states/eV per atom): 0.2850

# 2
MgTaPdF2: optimized geometry, GGA-PBE.

Geometry as POSCAR:
```
MgTaPdF2
1.0
4.214 0.000 0.000
0.000 4.214 0.000
0.000 0.000 5.267
Mg Ta Pd F
1 1 1 2
direct
0.000 0.000 0.000 Mg
0.500 0.500 0.000 Ta
0.000 0.000 0.500 Pd
0.000 0.500 0.500 F
0.500 0.000 0.500 F
```

Computed properties:
Density of states at the Fermi level (states/eV per atom): 1.0605

| no. | E_form (uncorrected) (meV per atom) |
| --- | --- |
| 1 | -401 |
| 2 | 257 |